(1)
TlRePb after structural relaxation, computed with PBE.

## Properties
E_tot = -5.2414 eV per atom
excess energy over the best structure of this formula in the dataset = 32.1 meV per atom
ΔH_f (0 K) = 270.0 kJ/mol of formula units
symmetry = Fmm2

Cell: 8.724 8.583 3.022 Å, 82.58 77.32 20.09°
Fractional positions:
Tl1 0.000 0.000 0.000
Re1 0.643 0.643 0.357
Pb1 0.277 0.277 0.723



(2)
Pm12Ni6Ge after structural relaxation, computed with PBE.

## Properties
E_tot = -5.3657 eV per atom
excess energy over the best structure of this formula in the dataset = 0.0 meV per atom
ΔH_f (0 K) = -543.7 kJ/mol of formula units
symmetry = Im-3

Cell: 8.595 8.595 8.595 Å, 109.47 109.47 109.47°
Fractional positions:
Pm1 0.118 0.304 0.814
Pm2 0.186 0.489 0.304
Pm3 0.186 0.882 0.696
Pm4 0.304 0.186 0.489
Pm5 0.304 0.814 0.118
Pm6 0.489 0.304 0.186
Pm7 0.511 0.696 0.814
Pm8 0.696 0.186 0.882
Pm9 0.696 0.814 0.511
Pm10 0.814 0.118 0.304
Pm11 0.814 0.511 0.696
Pm12 0.882 0.696 0.186
Ni1 0.123 0.500 0.623
Ni2 0.377 0.877 0.500
Ni3 0.500 0.377 0.877
Ni4 0.500 0.623 0.123
Ni5 0.623 0.123 0.500
Ni6 0.877 0.500 0.377
Ge1 0.000 0.000 0.000



(3)
LiReSe2N after structural relaxation, computed with PBE.

## Properties
raw formation energy = -0.019 eV/f.u.
E_tot = -5.9350 eV per atom
excess energy over the best structure of this formula in the dataset = 0.0 meV per atom
symmetry = P4/mmm

Cell: 5.082 5.082 3.751 Å, 90.00 90.00 90.00°
Fractional positions:
Li1 0.000 0.000 0.000
Re1 0.500 0.500 0.500
Se1 0.000 0.500 0.500
Se2 0.500 0.000 0.500
N1 0.500 0.500 0.000